Entry from Alexandria: a PBEsol-optimized structure of Na2AgBi2 (meta-GGA SCAN). Values from VASP.

Properties
SG: P4/mbm, No. 127
Calculated formation energy (meV/atom): -239
Mass density (g cm⁻³): 6.7

```
&SYSTEM
  ibrav = 0, nat = 10, ntyp = 3
/
ATOMIC_SPECIES
Na 22.99 Na.upf
Ag 107.87 Ag.upf
Bi 208.98 Bi.upf
CELL_PARAMETERS angstrom
7.454 0.000 0.000
0.000 7.454 0.000
0.000 0.000 5.094
ATOMIC_POSITIONS angstrom
Na 1.222 2.505 0.000
Na 2.505 6.232 0.000
Na 4.949 1.222 0.000
Na 6.232 4.949 0.000
Ag 0.000 0.000 2.547
Ag 3.727 3.727 2.547
Bi 1.095 4.822 2.547
Bi 2.632 1.095 2.547
Bi 4.822 6.359 2.547
Bi 6.359 2.632 2.547
```


Entry from Alexandria: a PBEsol-optimized structure of Nb4AgBi5O18 (meta-GGA SCAN). Values from VASP.

Properties
Formation energy from raw total energies (eV per atom): -1.9417
SG: Cm, No. 8
Mass density (g cm⁻³): 7.9

```
&SYSTEM
  ibrav = 0, nat = 28, ntyp = 4
/
ATOMIC_SPECIES
Nb 92.91 Nb.upf
Ag 107.87 Ag.upf
Bi 208.98 Bi.upf
O 16.00 O.upf
CELL_PARAMETERS angstrom
2.747 -12.462 0.000
2.747 12.462 0.000
-0.040 0.000 5.535
ATOMIC_POSITIONS angstrom
Nb 2.747 10.383 0.000
Nb 2.678 2.109 2.807
Nb 2.678 -2.109 2.807
Nb 2.747 -10.383 0.000
Ag 5.456 0.000 2.852
Bi 2.632 7.477 3.159
Bi 2.945 4.963 0.399
Bi 2.714 0.000 0.276
Bi 2.945 -4.963 0.399
Bi 2.632 -7.477 3.159
O 1.447 6.174 1.656
O 2.322 8.538 5.502
O 0.445 0.000 5.220
O 1.085 2.380 3.782
O 1.716 2.132 0.959
O 1.085 -2.380 3.782
O 1.716 -2.132 0.959
O 2.338 0.000 2.526
O 3.208 3.903 2.578
O 4.075 6.258 4.413
O 1.447 -6.174 1.656
O 3.842 1.664 4.283
O 4.331 1.564 1.441
O 3.208 -3.903 2.578
O 3.842 -1.664 4.283
O 2.322 -8.538 5.502
O 4.331 -1.564 1.441
O 4.075 -6.258 4.413
```


Entry from Alexandria: a PBEsol-optimized structure of ZrNbAgBi2 (meta-GGA SCAN). Values from VASP.

Properties
SG: P4/mmm, No. 123
Calculated formation energy (meV/atom): 1099
Mass density (g cm⁻³): 7.7

```
&SYSTEM
  ibrav = 0, nat = 5, ntyp = 4
/
ATOMIC_SPECIES
Zr 91.22 Zr.upf
Nb 92.91 Nb.upf
Ag 107.87 Ag.upf
Bi 208.98 Bi.upf
CELL_PARAMETERS angstrom
5.455 0.000 0.000
0.000 5.455 0.000
0.000 0.000 5.121
ATOMIC_POSITIONS angstrom
Zr 0.000 0.000 0.000
Nb 2.728 2.728 2.561
Ag 0.000 0.000 2.561
Bi 0.000 2.728 0.000
Bi 2.728 0.000 0.000
```


Entry from Alexandria: a PBEsol-optimized structure of Ni2Ag2Bi (meta-GGA SCAN). Values from VASP.

Properties
SG: I4/mmm, No. 139
Calculated formation energy (meV/atom): 429
Mass density (g cm⁻³): 10.2

```
&SYSTEM
  ibrav = 0, nat = 5, ntyp = 3
/
ATOMIC_SPECIES
Ni 58.69 Ni.upf
Ag 107.87 Ag.upf
Bi 208.98 Bi.upf
CELL_PARAMETERS angstrom
-1.641 1.641 8.236
1.641 -1.641 8.236
1.641 1.641 -8.236
ATOMIC_POSITIONS angstrom
Ni 1.641 0.000 4.118
Ni 0.000 1.641 4.118
Ag 0.000 0.000 2.061
Ag 0.000 0.000 14.410
Bi 0.000 0.000 8.236
```